(1)
# Zn4Cu4Ni3

Zn4Cu4Ni3 after structural relaxation (PBE, Alexandria).

Values from the calculation:
energy of formation from the pure elements: -0.12 eV per formula unit
calculated volume: 137 Å³/cell
electronic total energy: -3.540 eV per atom

Lattice parameters (Å, degrees): 13.124 13.124 13.124 168.86 161.67 21.50
Element x y z (fractional)
Zn1 0.089 0.089 0.000
Zn2 0.273 0.773 0.500
Zn3 0.727 0.227 0.500
Zn4 0.911 0.911 0.000
Cu1 0.181 0.181 0.000
Cu2 0.455 0.955 0.500
Cu3 0.545 0.045 0.500
Cu4 0.819 0.819 0.000
Ni1 0.000 0.500 0.500
Ni2 0.364 0.364 0.000
Ni3 0.636 0.636 0.000



(2)
# Dy3Ho8In

Dy3Ho8In after structural relaxation (PBE, Alexandria).

Values from the calculation:
energy of formation from the pure elements: 6.32 eV per formula unit
calculated volume: 412 Å³/cell
electronic total energy: -3.903 eV per atom

Lattice parameters (Å, degrees): 8.261 8.261 8.261 117.49 117.49 94.41
Element x y z (fractional)
Dy1 0.000 0.000 0.000
Dy2 0.250 0.750 0.500
Dy3 0.750 0.250 0.500
Ho1 0.119 0.119 0.747
Ho2 0.231 0.231 0.494
Ho3 0.264 0.769 0.000
Ho4 0.372 0.372 0.253
Ho5 0.628 0.881 0.000
Ho6 0.736 0.736 0.506
Ho7 0.769 0.264 0.000
Ho8 0.881 0.628 0.000
In1 0.500 0.500 0.000



(3)
# Pm4TmSc

Pm4TmSc after structural relaxation (PBE, Alexandria).

Values from the calculation:
energy of formation from the pure elements: 2.17 eV per formula unit
calculated volume: 399 Å³/cell
electronic total energy: -4.607 eV per atom

Lattice parameters (Å, degrees): 8.265 8.265 8.265 122.47 117.37 90.20
Element x y z (fractional)
Pm1 0.277 0.236 0.459
Pm2 0.277 0.818 0.041
Pm3 0.281 0.228 0.053
Pm4 0.325 0.772 0.553
Pm5 0.675 0.228 0.447
Pm6 0.719 0.772 0.947
Pm7 0.723 0.182 0.959
Pm8 0.723 0.764 0.541
Tm1 0.000 0.000 0.500
Tm2 0.000 0.500 0.000
Sc1 0.000 0.500 0.500
Sc2 0.500 0.500 0.000



(4)
# LiFeRuPt

LiFeRuPt after structural relaxation (PBE, Alexandria).

Values from the calculation:
energy of formation from the pure elements: -0.33 eV per formula unit
calculated volume: 52 Å³/cell
electronic total energy: -6.505 eV per atom

Lattice parameters (Å, degrees): 4.191 4.191 4.191 60.00 60.00 60.00
Element x y z (fractional)
Li1 0.000 0.000 0.000
Fe1 0.500 0.500 0.500
Ru1 0.250 0.250 0.250
Pt1 0.750 0.750 0.750



(5)
# BeCdHg3

BeCdHg3 after structural relaxation (PBE, Alexandria).

Values from the calculation:
energy of formation from the pure elements: 1.04 eV per formula unit
calculated volume: 118 Å³/cell
electronic total energy: -0.902 eV per atom

Lattice parameters (Å, degrees): 4.903 4.903 4.903 90.00 90.00 90.00
Element x y z (fractional)
Be1 0.000 0.000 0.000
Cd1 0.500 0.500 0.500
Hg1 0.000 0.000 0.500
Hg2 0.000 0.500 0.000
Hg3 0.500 0.000 0.000



(6)
# TlFe2PbI8

TlFe2PbI8 after structural relaxation (PBE, Alexandria).

Values from the calculation:
energy relative to the elements, uncorrected: -339 meV/atom
calculated volume: 552 Å³/cell
electronic total energy: -3.289 eV per atom

Lattice parameters (Å, degrees): 7.586 7.586 10.257 92.39 92.39 69.60
Element x y z (fractional)
Tl1 0.000 0.000 0.000
Fe1 0.374 0.374 0.728
Fe2 0.626 0.626 0.272
Pb1 0.000 0.000 0.500
I1 0.257 0.733 0.269
I2 0.261 0.261 0.511
I3 0.267 0.743 0.731
I4 0.277 0.277 0.940
I5 0.723 0.723 0.060
I6 0.733 0.257 0.269
I7 0.739 0.739 0.489
I8 0.743 0.267 0.731



(7)
# YCoIN2

YCoIN2 after structural relaxation (PBE, Alexandria).

Values from the calculation:
energy relative to the elements, uncorrected: 1106 meV/atom
calculated volume: 122 Å³/cell
electronic total energy: -5.248 eV per atom

Lattice parameters (Å, degrees): 4.386 4.386 6.363 90.00 90.00 90.00
Element x y z (fractional)
Y1 0.000 0.000 0.000
Co1 0.500 0.500 0.500
I1 0.000 0.000 0.500
N1 0.000 0.500 0.000
N2 0.500 0.000 0.000



(8)
# Li5CeP3

Li5CeP3 after structural relaxation (PBE, Alexandria).

Values from the calculation:
energy of formation from the pure elements: -7.35 eV per formula unit
calculated volume: 294 Å³/cell
electronic total energy: -4.343 eV per atom

Lattice parameters (Å, degrees): 6.868 6.868 11.427 90.00 90.00 147.00
Element x y z (fractional)
Li1 0.000 0.000 0.000
Li2 0.000 0.000 0.500
Li3 0.192 0.808 0.545
Li4 0.192 0.808 0.955
Li5 0.439 0.561 0.139
Li6 0.439 0.561 0.361
Li7 0.561 0.439 0.639
Li8 0.561 0.439 0.861
Li9 0.808 0.192 0.045
Li10 0.808 0.192 0.455
Ce1 0.188 0.812 0.250
Ce2 0.812 0.188 0.750
P1 0.137 0.863 0.750
P2 0.376 0.624 0.578
P3 0.376 0.624 0.922
P4 0.624 0.376 0.078
P5 0.624 0.376 0.422
P6 0.863 0.137 0.250